Crystalline Ti2BPPb at its relaxed geometry. Source: the Alexandria database, functional PBE-GGA.

## Properties
Crystal system   tetragonal
Energy of formation   1.64 eV per atom

The structure in CIF format:
```
data_Ti2BPPb
_chemical_formula_sum 'Ti2 B1 P1 Pb1'
_space_group_name_H-M_alt 'P 4/m m m'
_space_group_IT_number 123
_space_group_name_Hall '-P 4 2'
_cell_length_a 5.302
_cell_length_b 5.302
_cell_length_c 4.116
_cell_angle_alpha 90.00
_cell_angle_beta 90.00
_cell_angle_gamma 90.00
loop_
_atom_site_label
_atom_site_fract_x
_atom_site_fract_y
_atom_site_fract_z
Ti1 0.000 0.500 0.000
B1 0.000 0.000 0.500
P1 0.500 0.500 0.500
Pb1 0.000 0.000 0.000
```



Crystalline HoHfNi4 at its relaxed geometry. Source: the Alexandria database, functional PBE-GGA.

## Properties
Crystal system   cubic
Energy of formation   -0.44 eV per atom

The structure in CIF format:
```
data_HoHfNi4
_chemical_formula_sum 'Ho4 Hf4 Ni16'
_space_group_name_H-M_alt 'F -4 3 m'
_space_group_IT_number 216
_space_group_name_Hall 'F -4 2 3'
_cell_length_a 7.035
_cell_length_b 7.035
_cell_length_c 7.035
_cell_angle_alpha 90.00
_cell_angle_beta 90.00
_cell_angle_gamma 90.00
loop_
_atom_site_label
_atom_site_fract_x
_atom_site_fract_y
_atom_site_fract_z
Ho1 0.000 0.000 0.000
Hf1 0.250 0.250 0.750
Ni1 0.125 0.125 0.375
```



Crystalline CeN2O3 at its relaxed geometry. Source: the Alexandria database, functional PBE-GGA.

## Properties
Crystal system   monoclinic

The structure in CIF format:
```
data_CeN2O3
_chemical_formula_sum 'Ce4 N8 O12'
_space_group_name_H-M_alt 'C 1 2/c 1'
_space_group_IT_number 15
_space_group_name_Hall '-C 2yc'
_cell_length_a 5.216
_cell_length_b 6.729
_cell_length_c 11.143
_cell_angle_alpha 90.00
_cell_angle_beta 103.02
_cell_angle_gamma 90.00
loop_
_atom_site_label
_atom_site_fract_x
_atom_site_fract_y
_atom_site_fract_z
Ce1 0.000 0.232 0.250
N1 0.242 0.235 0.950
O1 0.000 0.481 0.750
O2 0.218 0.220 0.440
```



Crystalline Y2Al3Au9 at its relaxed geometry. Source: the Alexandria database, functional PBE-GGA.

## Properties
Crystal system   monoclinic
Energy of formation   -0.61 eV per atom

The structure in CIF format:
```
data_Y2Al3Au9
_chemical_formula_sum 'Y8 Al12 Au36'
_space_group_name_H-M_alt 'C 1 2/c 1'
_space_group_IT_number 15
_space_group_name_Hall '-C 2yc'
_cell_length_a 13.739
_cell_length_b 7.907
_cell_length_c 10.854
_cell_angle_alpha 90.00
_cell_angle_beta 115.32
_cell_angle_gamma 90.00
loop_
_atom_site_label
_atom_site_fract_x
_atom_site_fract_y
_atom_site_fract_z
Y1 0.168 0.083 0.247
Al1 0.086 0.238 0.498
Al2 0.250 0.250 0.000
Au1 0.000 0.352 0.250
Au2 0.060 0.082 0.928
Au3 0.109 0.412 0.072
Au4 0.113 0.305 0.745
Au5 0.227 0.418 0.434
```



Crystalline Pm6SnIr2I3 at its relaxed geometry. Source: the Alexandria database, functional PBE-GGA.

## Properties
Crystal system   monoclinic

The structure in CIF format:
```
data_Pm6SnIr2I3
_chemical_formula_sum 'Pm12 Sn2 Ir4 I6'
_space_group_name_H-M_alt 'C 1 2/m 1'
_space_group_IT_number 12
_space_group_name_Hall '-C 2y'
_cell_length_a 20.229
_cell_length_b 4.285
_cell_length_c 9.450
_cell_angle_alpha 90.00
_cell_angle_beta 109.06
_cell_angle_gamma 90.00
loop_
_atom_site_label
_atom_site_fract_x
_atom_site_fract_y
_atom_site_fract_z
Pm1 0.027 0.000 0.248
Pm2 0.164 0.500 0.144
Pm3 0.182 0.500 0.555
Sn1 0.000 0.500 0.000
Ir1 0.171 0.000 0.346
I1 0.000 0.500 0.500
I2 0.161 0.000 0.843
```



Crystalline KH2Pd2 at its relaxed geometry. Source: the Alexandria database, functional PBE-GGA.

## Properties
Excess energy over the best structure of this formula in the dataset   35.2 meV per atom
Crystal system   tetragonal

The structure in CIF format:
```
data_KH2Pd2
_chemical_formula_sum 'K2 H4 Pd4'
_space_group_name_H-M_alt 'I 4/m m m'
_space_group_IT_number 139
_space_group_name_Hall '-I 4 2'
_cell_length_a 3.839
_cell_length_b 3.839
_cell_length_c 11.262
_cell_angle_alpha 90.00
_cell_angle_beta 90.00
_cell_angle_gamma 90.00
loop_
_atom_site_label
_atom_site_fract_x
_atom_site_fract_y
_atom_site_fract_z
K1 0.000 0.000 0.000
H1 0.000 0.500 0.250
Pd1 0.000 0.000 0.267
```



| no. | DFT total energy (eV/atom) |
| --- | --- |
| 1 | -4.675 |
| 2 | -6.712 |
| 3 | -7.423 |
| 4 | -4.445 |
| 5 | -5.504 |
| 6 | -3.821 |